[1]
A geometry-optimized NaSrZn2 structure, computed with GGA-PBE.

The structure in extended XYZ format:
```
8
Lattice="-1.1094 0.0193 -4.7968 -3.2863 -3.5895 0.7456 -9.4335 5.1927 -0.3241" Properties=species:S:1:pos:R:3 pbc="T T T"
Sr 0.0000 0.0000 0.0000
Na -7.4588 -0.0910 -0.8020
Sr -6.3704 1.7134 -3.5732
Zn -3.1994 0.8570 -1.8482
Zn -4.8141 -0.9383 -1.3522
Na -2.1978 -1.7851 -2.0256
Zn -10.1420 1.6218 -3.9647
Zn -9.5029 1.7044 -1.5854
```

Summary:
Energy of formation from the pure elements   138 meV/atom
Total magnetic moment   0.0 μB per formula unit
Symmetry   I-42d
Uncorrected energy   -1.249 eV/atom

---

[2]
A geometry-optimized NaSrZn structure, computed with GGA-PBE.

The structure in extended XYZ format:
```
6
Lattice="-4.5461 -0.4998 -0.3565 0.4652 -4.2684 0.0520 -0.8414 0.0615 10.6430" Properties=species:S:1:pos:R:3 pbc="T T T"
Sr -1.3678 -4.3393 8.7684
Zn -3.9637 -2.4503 9.7090
Na -1.2268 -2.2430 4.0315
Zn -0.9586 -2.2563 0.6295
Na -3.6955 -2.4637 6.3070
Sr -3.5545 -0.3673 1.5701
```

Summary:
Energy of formation from the pure elements   -98 meV/atom
Total magnetic moment   0.0 μB per formula unit
Symmetry   P2_1/m
Polymorph energy (0 for the lowest one)   31 meV per atom
Uncorrected energy   -1.523 eV/atom

---

[3]
A geometry-optimized NaSrZn2 structure, computed with GGA-PBE.

The structure in extended XYZ format:
```
4
Lattice="-3.1184 -1.2171 -2.5156 -1.0293 -3.9326 3.1787 -3.2864 2.9856 2.6295" Properties=species:S:1:pos:R:3 pbc="T T T"
Sr -3.7171 -1.0821 1.6463
Zn -0.5146 -1.9663 1.5893
Zn -1.6432 1.4928 1.3148
Na -1.5592 -0.6085 -1.2578
```

Summary:
Energy of formation from the pure elements   13 meV/atom
Total magnetic moment   0.0 μB per formula unit
Symmetry   P4/mmm
Uncorrected energy   -1.375 eV/atom

---

[4]
A geometry-optimized NaSr4Zn2 structure, computed with GGA-PBE.

The structure in extended XYZ format:
```
7
Lattice="5.5536 0.0000 0.0000 2.7768 4.8095 0.0000 2.7768 1.6032 10.5372" Properties=species:S:1:pos:R:3 pbc="T T T"
Sr 8.3304 4.8095 3.5163
Sr 2.7768 1.6032 1.1542
Zn 5.5536 3.2064 8.2989
Sr 2.7768 1.6032 7.0209
Na 5.5536 3.2064 5.2686
Zn 5.5536 3.2064 2.2383
Sr 8.3304 4.8095 9.3831
```

Summary:
Energy of formation from the pure elements   12 meV/atom
Total magnetic moment   0.0 μB per formula unit
Symmetry   R-3m
Polymorph energy (0 for the lowest one)   66 meV per atom
Uncorrected energy   -1.501 eV/atom

---

[5]
A geometry-optimized NaSrZn structure, computed with GGA-PBE.

The structure in extended XYZ format:
```
3
Lattice="-0.8685 3.9167 3.5419 -4.6588 0.2526 2.6213 -0.1913 -1.1162 5.2304" Properties=species:S:1:pos:R:3 pbc="T T T"
Sr 0.0000 0.0000 0.0000
Na -2.8593 1.5265 5.6967
Zn -1.4296 0.7633 2.8484
```

Summary:
Energy of formation from the pure elements   37 meV/atom
Total magnetic moment   0.0 μB per formula unit
Symmetry   F-43m
Polymorph energy (0 for the lowest one)   166 meV per atom
Uncorrected energy   -1.388 eV/atom

---

[6]
A geometry-optimized Na2SrZn2 structure, computed with GGA-PBE.

The structure in extended XYZ format:
```
10
Lattice="-3.9548 -7.7178 1.0103 2.1801 -2.1862 -8.1666 3.0764 -1.4192 1.2012" Properties=species:S:1:pos:R:3 pbc="T T T"
Zn -1.0040 -7.7205 -1.1718
Na 0.3591 -1.7522 -2.9898
Zn 0.6259 -7.7600 -5.3930
Sr 0.0000 0.0000 0.0000
Sr -0.8873 -4.9520 -3.5781
Na 0.4142 -4.8650 -6.8087
Na -2.1337 -8.1518 -4.1664
Na -2.1888 -5.0390 -0.3475
Zn 2.3057 -3.6027 -4.7833
Zn 0.6758 -3.5631 -0.5621
```

Summary:
Energy of formation from the pure elements   79 meV/atom
Total magnetic moment   0.0 μB per formula unit
Symmetry   P4/mbm
Polymorph energy (0 for the lowest one)   113 meV per atom
Uncorrected energy   -1.295 eV/atom

---

[7]
A geometry-optimized Na2SrZrZn structure, computed with GGA-PBE.

The structure in extended XYZ format:
```
5
Lattice="-2.1446 -3.5909 3.6567 -2.4071 -2.7418 -4.1042 4.5095 -3.2057 -0.5032" Properties=species:S:1:pos:R:3 pbc="T T T"
Sr 0.0000 0.0000 0.0000
Na 2.2548 -1.6029 -0.2516
Zn -1.2035 -1.3709 -2.0521
Na -1.0723 -1.7955 1.8283
Zr -0.0211 -4.7692 -0.4754
```

Summary:
Energy of formation from the pure elements   1254 meV/atom
Total magnetic moment   2.0 μB per formula unit
Symmetry   P4/mmm
Uncorrected energy   -1.575 eV/atom

---

[8]
A geometry-optimized NaSr3Zr structure, computed with GGA-PBE.

The structure in extended XYZ format:
```
5
Lattice="-1.4044 2.0041 5.6719 -5.6613 -2.4094 -0.5505 2.0337 -5.3233 2.3845" Properties=species:S:1:pos:R:3 pbc="T T T"
Zr -2.5161 -2.8643 3.7529
Sr -2.8307 -1.2047 -0.2752
Na 0.0000 0.0000 0.0000
Sr 1.0168 -2.6616 1.1923
Sr -0.7022 1.0021 2.8359
```

Summary:
Energy of formation from the pure elements   903 meV/atom
Total magnetic moment   3.4 μB per formula unit
Symmetry   Pm-3m
Uncorrected energy   -2.080 eV/atom